Computed, not measured: a relaxed In2As2Pd crystal at the PBE-GGA level of DFT.

Output
Size of the total moment   0.0 μB/cell
Formation energy   -0.0795 eV per atom
Crystal system   tetragonal
SG   P4/mbm, No. 127

abc: 6.4337 6.4337 5.5413
angles: 90.00 90.00 90.00
Sites, in units of the cell vectors:
As: 0.3634 0.8634 0.0000
As: 0.8634 0.6366 0.0000
As: 0.6366 0.1366 0.0000
As: 0.1366 0.3634 0.0000
Pd: 0.0000 0.0000 0.0000
Pd: 0.5000 0.5000 0.0000
In: 0.1920 0.6920 0.5000
In: 0.6920 0.8080 0.5000
In: 0.8080 0.3080 0.5000
In: 0.3080 0.1920 0.5000


Computed, not measured: a relaxed CeAgS3 crystal at the PBE-GGA level of DFT.

Output
Size of the total moment   0.0 μB/cell
Raw formation energy   -0.99 eV per atom
Crystal system   monoclinic
SG   P2_1/m, No. 11

abc: 4.0121 6.3931 8.5145
angles: 90.00 90.00 97.41
Sites, in units of the cell vectors:
Ce: 0.2355 0.5043 0.2500
Ce: 0.7645 0.4957 0.7500
Ag: 0.0000 0.0000 0.0000
Ag: 0.0000 0.0000 0.5000
S: 0.6969 0.3102 0.4423
S: 0.3031 0.6898 0.5577
S: 0.3031 0.6898 0.9423
S: 0.6969 0.3102 0.0577
S: 0.8107 0.8170 0.2500
S: 0.1893 0.1830 0.7500


Computed, not measured: a relaxed TlAg4O2 crystal at the PBE-GGA level of DFT.

Output
Size of the total moment   0.0 μB/cell
Raw formation energy   0.71 eV per atom
Crystal system   tetragonal
SG   I4/mmm, No. 139

abc: 5.1572 5.1572 7.0385
angles: 68.51 68.51 90.00
Sites, in units of the cell vectors:
Tl: 0.0000 0.0000 0.0000
O: 0.5964 0.5964 0.8072
O: 0.4036 0.4036 0.1928
Ag: 0.7675 0.7675 0.4650
Ag: 0.2325 0.2325 0.5350
Ag: 0.0000 0.5000 0.0000
Ag: 0.5000 0.0000 0.0000


Computed, not measured: a relaxed LaIn2MoPd crystal at the PBE-GGA level of DFT.

Output
Size of the total moment   0.0 μB/cell
Formation energy   0.4292 eV per atom
Crystal system   tetragonal
SG   P4/mmm, No. 123

abc: 5.2858 5.0911 5.2858
angles: 90.00 90.00 90.00
Sites, in units of the cell vectors:
Mo: 0.0000 0.0000 0.0000
In: 0.0000 0.0000 0.5000
In: 0.5000 0.0000 0.0000
Pd: 0.5000 0.5000 0.5000
La: 0.0000 0.5000 0.0000


Computed, not measured: a relaxed CoGe2Ir crystal at the PBE-GGA level of DFT.

Output
Size of the total moment   1.5 μB/cell
Formation energy   -0.0228 eV per atom
Crystal system   cubic
SG   Fm-3m, No. 225

abc: 4.2946 4.2946 4.2946
angles: 60.00 60.00 60.00
Site moments in Bohr magnetons follow the coordinates.
Sites, in units of the cell vectors:
Ge: 0.2500 0.2500 0.2500  0.01
Ge: 0.7500 0.7500 0.7500  0.01
Ir: 0.5000 0.5000 0.5000  0.30
Co: 0.0000 0.0000 0.0000  1.20


Computed, not measured: a relaxed LiNdTmNi crystal at the PBE-GGA level of DFT.

Output
Size of the total moment   0.0 μB/cell
Formation energy   -0.1052 eV per atom
Crystal system   cubic
SG   F-43m, No. 216

abc: 4.9725 4.9725 4.9725
angles: 60.00 60.00 60.00
Sites, in units of the cell vectors:
Ni: 0.7500 0.7500 0.7500
Tm: 0.0000 0.0000 0.0000
Nd: 0.5000 0.5000 0.5000
Li: 0.2500 0.2500 0.2500


Computed, not measured: a relaxed Cs3Sr2F7 crystal at the PBE-GGA level of DFT.

Output
Offset from the most stable computed form   39 meV per atom
Size of the total moment   0.2 μB/cell
Raw formation energy   -3.26 eV per atom
Crystal system   orthorhombic
SG   Cmmm, No. 65

abc: 4.7358 4.8369 12.7200
angles: 100.96 90.00 90.00
Site moments in Bohr magnetons follow the coordinates.
Sites, in units of the cell vectors:
Cs: 0.5000 0.5000 0.0000  0.00
Cs: 0.5000 0.6857 0.3714  0.00
Cs: 0.5000 0.3143 0.6286  0.00
Sr: 0.0000 0.9022 0.8045  0.00
Sr: 0.0000 0.0978 0.1955  0.00
F: 0.0000 0.4039 0.8078  0.00
F: 0.0000 0.8067 0.6133  0.08
F: 0.0000 0.0000 0.0000  0.01
F: 0.0000 0.5961 0.1922  0.00
F: 0.5000 0.0968 0.1936  0.00
F: 0.5000 0.9032 0.8064  0.00
F: 0.0000 0.1933 0.3867  0.08


Computed, not measured: a relaxed NpMoW crystal at the PBE-GGA level of DFT.

Output
Offset from the most stable computed form   0 meV per atom
Size of the total moment   3.3 μB/cell
Formation energy   0.3995 eV per atom
Crystal system   tetragonal
SG   I4mm, No. 107

abc: 3.1669 3.1669 5.9446
angles: 105.45 105.45 90.00
Site moments in Bohr magnetons follow the coordinates.
Sites, in units of the cell vectors:
Np: 0.0012 0.0012 0.0023  3.29
Mo: 0.6822 0.6822 0.3644  -0.11
W: 0.3167 0.3167 0.6333  -0.08


Computed, not measured: a relaxed NaPdAu crystal at the PBE-GGA level of DFT.

Output
Offset from the most stable computed form   0 meV per atom
Size of the total moment   0.0 μB/cell
Formation energy   -0.3066 eV per atom
Crystal system   orthorhombic
SG   Imma, No. 74

abc: 5.5024 5.5024 5.5024
angles: 90.41 120.27 119.26
Sites, in units of the cell vectors:
Na: 0.2500 0.1282 0.3782
Na: 0.7500 0.8718 0.6218
Pd: 0.0000 0.5000 0.5000
Pd: 0.5000 0.5000 0.0000
Au: 0.5000 0.0000 0.0000
Au: 0.0000 0.5000 0.0000


Computed, not measured: a relaxed CeCo2H8Pd crystal at the PBE-GGA level of DFT.

Output
Raw total energy   -51.66 eV/cell
Size of the total moment   1.8 μB/cell
Crystal system   trigonal
SG   P-3m1, No. 164

abc: 4.6022 4.6022 6.6255
angles: 90.00 90.00 120.00
Site moments in Bohr magnetons follow the coordinates.
Sites, in units of the cell vectors:
Ce: 0.0000 0.0000 0.5000  -0.44
Co: 0.3333 0.6667 0.7589  1.11
Co: 0.6667 0.3333 0.2411  1.11
H: 0.1413 0.2826 0.8026  0.00
H: 0.1413 0.8587 0.8026  0.00
H: 0.7174 0.8587 0.8026  0.00
H: 0.2826 0.1413 0.1974  0.00
H: 0.6667 0.3333 0.4766  -0.01
H: 0.3333 0.6667 0.5234  -0.01
H: 0.8587 0.7174 0.1974  0.00
H: 0.8587 0.1413 0.1974  0.00
Pd: 0.0000 0.0000 0.0000  -0.09


> The highest size of the total moment belongs to which entry?

NpMoW


> Among the records above, which one has the highest size of the total moment?

NpMoW


> Which value of size of the total moment does entry 5 give?

1.5 μB/cell


> size of the total moment of number 1 (In2As2Pd)?

0.0 μB/cell